(1)
The following is a PBE calculation of an optimized crystal structure of CsYI2F, from Alexandria.

Calculated values
E_tot = -4.3540 eV/atom

POSCAR file:
```
CsYI2F
1.0
-1.155 -0.741 6.221
2.088 -6.010 -0.328
4.134 1.386 0.933
F Y I Cs
1 1 2 1
direct
0.000 0.000 0.500 F
0.000 0.000 0.000 Y
0.000 0.500 0.000 I
0.500 0.000 0.000 I
0.500 0.500 0.500 Cs
```

(2)
The following is a PBE calculation of an optimized crystal structure of CdHg2Br, from Alexandria.

Calculated values
Energy above the lowest structure with this stoichiometry = 0.06 eV/f.u.

POSCAR file:
```
CdHg2Br
1.0
3.806 0.000 0.000
0.000 3.804 0.104
0.000 1.629 8.168
Hg Cd Br
2 1 1
direct
0.000 0.816 0.000 Hg
0.500 0.209 0.219 Hg
0.500 0.945 0.725 Cd
0.000 0.530 0.557 Br
```

(3)
The following is a PBE calculation of an optimized crystal structure of Ta2GeRhN, from Alexandria.

Calculated values
E_tot = -7.7956 eV/atom

POSCAR file:
```
Ta2GeRhN
1.0
4.986 0.000 0.000
0.000 3.631 0.000
0.000 0.000 4.986
Ge Rh N Ta
1 1 1 2
direct
0.500 0.500 0.500 Ge
0.000 0.000 0.000 Rh
0.000 0.500 0.000 N
0.000 0.000 0.500 Ta
0.500 0.000 0.000 Ta
```

(4)
The following is a PBE calculation of an optimized crystal structure of Ba2PrHoSe4, from Alexandria.

Calculated values
E_tot = -5.2795 eV/atom

POSCAR file:
```
Ba2PrHoSe4
1.0
-0.146 0.648 -4.300
1.270 -7.342 -1.150
-7.719 1.174 0.440
Ba Se Ho Pr
2 4 1 1
direct
0.000 0.500 0.500 Ba
0.500 0.000 0.500 Ba
0.500 0.771 0.786 Se
0.000 0.250 0.780 Se
0.500 0.229 0.214 Se
0.000 0.750 0.220 Se
0.000 0.000 0.000 Ho
0.500 0.500 0.000 Pr
```

(5)
The following is a PBE calculation of an optimized crystal structure of NaTl2CrH, from Alexandria.

Calculated values
E_tot = -3.4826 eV/atom

POSCAR file:
```
NaTl2CrH
1.0
5.610 0.000 0.000
0.000 3.453 0.000
0.000 0.000 5.610
Tl Na Cr H
2 1 1 1
direct
0.000 0.000 0.500 Tl
0.500 0.000 0.000 Tl
0.500 0.500 0.500 Na
0.000 0.000 0.000 Cr
0.000 0.500 0.000 H
```

(6)
The following is a PBE calculation of an optimized crystal structure of Dy4TeAs2S, from Alexandria.

Calculated values
E_tot = -5.9727 eV/atom

POSCAR file:
```
Dy4TeAs2S
1.0
4.124 0.000 0.000
0.000 7.180 -0.145
0.000 2.508 6.720
Te S Dy As
1 1 4 2
direct
0.500 0.500 0.000 Te
0.000 0.500 0.500 S
0.000 0.770 0.730 Dy
0.500 0.761 0.258 Dy
0.000 0.230 0.270 Dy
0.500 0.239 0.742 Dy
0.500 0.000 0.500 As
0.000 0.000 0.000 As
```

(7)
The following is a PBE calculation of an optimized crystal structure of Ba2Ac15La2, from Alexandria.

Calculated values
Formation energy from the elements = 4.0 eV per formula unit

POSCAR file:
```
Ba2Ac15La2
1.0
9.646 -0.376 1.817
1.437 9.546 1.817
-0.455 -0.376 9.805
Ac Ba La
15 2 2
direct
0.647 0.148 0.647 Ac
0.295 0.000 0.705 Ac
0.295 0.705 0.000 Ac
0.705 0.000 0.295 Ac
0.000 0.500 0.000 Ac
0.353 0.353 0.852 Ac
0.647 0.647 0.148 Ac
0.148 0.647 0.647 Ac
0.500 0.000 0.000 Ac
0.852 0.353 0.353 Ac
0.000 0.705 0.295 Ac
0.353 0.852 0.353 Ac
0.000 0.000 0.500 Ac
0.705 0.295 0.000 Ac
0.000 0.295 0.705 Ac
0.664 0.664 0.664 Ba
0.336 0.336 0.336 Ba
0.918 0.918 0.918 La
0.082 0.082 0.082 La
```

(8)
The following is a PBE calculation of an optimized crystal structure of AcNd12Tm5, from Alexandria.

Calculated values
Formation energy from the elements = 0.5 eV per formula unit

POSCAR file:
```
AcNd12Tm5
1.0
-11.756 2.526 9.691
-7.508 -6.314 4.843
3.162 -0.682 4.014
Nd Ac Tm
12 1 5
direct
0.336 0.662 0.000 Nd
0.663 0.000 0.000 Nd
0.998 0.338 0.000 Nd
0.002 0.662 0.000 Nd
0.171 0.000 0.500 Nd
0.829 0.000 0.500 Nd
0.171 0.332 0.500 Nd
0.497 0.332 0.500 Nd
0.664 0.338 0.000 Nd
0.337 0.000 0.000 Nd
0.829 0.668 0.500 Nd
0.503 0.668 0.500 Nd
0.000 0.000 0.000 Ac
0.667 0.666 0.000 Tm
0.500 0.000 0.500 Tm
0.333 0.334 0.000 Tm
0.171 0.658 0.500 Tm
0.829 0.342 0.500 Tm
```

(9)
The following is a PBE calculation of an optimized crystal structure of Nb2GePd, from Alexandria.

Calculated values
Formation energy from the elements = -1.2 eV per formula unit

POSCAR file:
```
Nb2GePd
1.0
-2.827 0.444 3.122
-2.482 -2.431 -1.902
1.593 -3.099 1.883
Ge Nb Pd
1 2 1
direct
0.500 0.500 0.500 Ge
0.000 0.000 0.500 Nb
0.000 0.500 0.000 Nb
0.500 0.000 0.000 Pd
```

(10)
The following is a PBE calculation of an optimized crystal structure of KNaBi, from Alexandria.

Calculated values
Energy above the lowest structure with this stoichiometry = 0.16 eV/f.u.
Formation energy from the elements = -0.8 eV per formula unit

POSCAR file:
```
KNaBi
1.0
4.308 0.000 0.000
0.000 4.308 0.000
-2.154 -2.154 5.989
K Bi Na
1 1 1
direct
0.607 0.607 0.215 K
0.924 0.924 0.847 Bi
0.319 0.319 0.638 Na
```